[1]
A plane-wave DFT calculation with GGA-PBE was carried out for K3Ac2ThTe6 after structural relaxation.

Structure (extended XYZ):
```
12
Lattice="4.093 -7.088 0.000 4.093 7.088 0.000 -2.738 0.000 8.307" Properties=species:S:1:pos:R:3 pbc="T T T"
K 0.000 0.000 0.000
K 4.093 2.421 0.000
K 4.093 -2.421 0.000
Ac 2.724 4.732 4.154
Ac 2.724 -4.732 4.154
Th 2.724 0.000 4.154
Te 1.425 2.255 2.308
Te 0.126 0.000 6.005
Te 1.425 -2.255 2.308
Te 4.023 2.255 5.999
Te 5.322 0.000 2.302
Te 4.023 -2.255 5.999
```

Crystal system: monoclinic
D(E_F): 5.16 states/eV/f.u.
SG: No. 12
Total magnetization: 0.0 μB/f.u.
E_form (uncorrected): -31.65 kcal/mol of atoms

---

[2]
A plane-wave DFT calculation with GGA-PBE was carried out for MgTa5Ir6 after structural relaxation.

Structure (extended XYZ):
```
12
Lattice="-2.114 3.661 6.202 2.114 -3.661 6.202 2.114 3.661 -6.202" Properties=species:S:1:pos:R:3 pbc="T T T"
Mg 0.000 0.000 0.000
Ta 2.114 0.000 2.240
Ta 0.000 0.000 4.401
Ta 0.000 3.661 0.000
Ta 0.000 0.000 8.003
Ta 0.000 3.661 3.962
Ir 2.114 -1.939 4.111
Ir 2.114 1.629 0.000
Ir 0.000 1.722 2.091
Ir 2.114 1.939 4.111
Ir 0.000 2.032 6.202
Ir 0.000 5.600 2.091
```

Crystal system: orthorhombic
D(E_F): 4.00 states/eV/f.u.
SG: No. 71
Total magnetization: 0.0 μB/f.u.
Formation energy from the elements: -0.59 eV/atom

---

[3]
A plane-wave DFT calculation with GGA-PBE was carried out for NdThGeAu after structural relaxation.

Structure (extended XYZ):
```
4
Lattice="0.000 3.708 3.708 3.708 0.000 3.708 3.708 3.708 0.000" Properties=species:S:1:pos:R:3 pbc="T T T"
Nd 0.000 0.000 0.000
Th 3.708 3.708 3.708
Ge 5.563 5.563 5.563
Au 1.854 1.854 1.854
```

Crystal system: cubic
D(E_F): 5.68 states/eV/f.u.
SG: No. 216
Polymorph energy (0 for the lowest one): 11.9 kJ per mole of atoms
Total magnetization: 0.0 μB/f.u.
Formation energy from the elements: -0.60 eV/atom

---

[4]
A plane-wave DFT calculation with GGA-PBE was carried out for Y2AlTc after structural relaxation.

Structure (extended XYZ):
```
4
Lattice="-1.783 2.452 5.076 1.783 -2.452 5.076 1.783 2.452 -5.076" Properties=species:S:1:pos:R:3 pbc="T T T"
Y 0.000 0.000 0.000
Y 0.000 2.452 2.166
Al 1.783 0.000 2.870
Tc 0.000 0.000 4.705
```

Crystal system: orthorhombic
D(E_F): 3.08 states/eV/f.u.
SG: No. 44
Total magnetization: 0.0 μB/f.u.
Formation energy from the elements: -0.13 eV/atom

---

[5]
A plane-wave DFT calculation with GGA-PBE was carried out for ScTi2In2 after structural relaxation.

Structure (extended XYZ):
```
10
Lattice="8.298 0.000 0.000 0.000 8.298 0.000 0.000 0.000 3.048" Properties=species:S:1:pos:R:3 pbc="T T T"
Sc 0.000 0.000 0.000
Sc 4.149 4.149 0.000
Ti 0.920 3.229 0.000
Ti 3.229 7.378 0.000
Ti 5.069 0.920 0.000
Ti 7.378 5.069 0.000
In 1.526 5.675 1.524
In 2.623 1.526 1.524
In 5.675 6.772 1.524
In 6.772 2.623 1.524
```

Crystal system: tetragonal
D(E_F): 4.28 states/eV/f.u.
SG: No. 127
Polymorph energy (0 for the lowest one): 0.2 kJ per mole of atoms
Total magnetization: 2.4 μB/f.u.
Formation energy from the elements: -0.06 eV/atom

---

[6]
A plane-wave DFT calculation with GGA-PBE was carried out for BaNbN2 after structural relaxation.

Structure (extended XYZ):
```
8
Lattice="6.260 0.000 0.000 0.000 3.613 0.000 0.000 0.000 6.370" Properties=species:S:1:pos:R:3 pbc="T T T"
Ba 1.565 0.000 0.389
Ba 4.695 0.000 5.981
Nb 1.565 1.807 3.466
Nb 4.695 1.807 2.905
N 6.260 1.807 1.763
N 0.001 1.807 4.607
N 3.131 1.807 1.763
N 3.129 1.807 4.607
```

Crystal system: orthorhombic
D(E_F): 0.50 states/eV/f.u.
SG: No. 51
Total magnetization: 0.0 μB/f.u.
E_form (uncorrected): -12.19 kcal/mol of atoms

---

- What is the formula in the first record?
  K3Ac2ThTe6

---

- Which formula does entry 3 have?
  NdThGeAu

---

- Look up the total magnetization of the sixth one.
  0.0 μB/f.u.

---

- What is the formula in the second record?
  MgTa5Ir6